(1)
ZrI4O12 | meta-GGA SCAN | single point on PBEsol structure

Results
SG = P4/n, No. 85
Total energy = -0.581 Ha/atom

a = 8.3434 Å, b = 8.3434 Å, c = 7.3106 Å
α = 90.00°, β = 90.00°, γ = 90.00°
Closest atoms and distances in Å follow each position.
Fractional positions:
Zr: 0.2500 0.2500 0.0532  8 O 2.18-2.20
Zr: 0.7500 0.7500 0.9468  8 O 2.18-2.20
I: 0.0016 0.9680 0.2741  3 O 1.84-1.88
I: 0.0320 0.5016 0.7259  3 O 1.84-1.88
I: 0.4680 0.9984 0.7259  3 O 1.84-1.88
I: 0.4984 0.5320 0.2741  3 O 1.84-1.88
I: 0.5016 0.4680 0.7259  3 O 1.84-1.88
I: 0.5320 0.0016 0.2741  3 O 1.84-1.88
I: 0.9680 0.4984 0.2741  3 O 1.84-1.88
I: 0.9984 0.0320 0.7259  3 O 1.84-1.88
O: 0.0007 0.6503 0.4527  1 I 1.84
O: 0.0424 0.1791 0.2196  1 I 1.84
O: 0.0435 0.3368 0.9001  1 I 1.88
O: 0.1503 0.9993 0.5473  1 I 1.84
O: 0.1632 0.0435 0.9001  1 I 1.88
O: 0.1791 0.4576 0.2196  1 I 1.84
O: 0.3209 0.0424 0.2196  1 I 1.84
O: 0.3368 0.4565 0.9001  1 I 1.88
O: 0.3497 0.5007 0.5473  1 I 1.84
O: 0.4565 0.1632 0.9001  1 I 1.88
O: 0.4576 0.3209 0.2196  1 I 1.84
O: 0.4993 0.8497 0.4527  1 I 1.84
O: 0.5007 0.1503 0.5473  1 I 1.84
O: 0.5424 0.6791 0.7804  1 I 1.84
O: 0.5435 0.8368 0.0999  1 I 1.88
O: 0.6503 0.4993 0.4527  1 I 1.84
O: 0.6632 0.5435 0.0999  1 I 1.88
O: 0.6791 0.9576 0.7804  1 I 1.84
O: 0.8209 0.5424 0.7804  1 I 1.84
O: 0.8368 0.9565 0.0999  1 I 1.88
O: 0.8497 0.0007 0.4527  1 I 1.84
O: 0.9565 0.6632 0.0999  1 I 1.88
O: 0.9576 0.8209 0.7804  1 I 1.84
O: 0.9993 0.3497 0.5473  1 I 1.84



(2)
Zr3IO | meta-GGA SCAN | single point on PBEsol structure

Results
SG = Pm-3m, No. 221
Total energy = -1.022 Ha/atom

a = 4.4581 Å, b = 4.4581 Å, c = 4.4581 Å
α = 90.00°, β = 90.00°, γ = 90.00°
Closest atoms and distances in Å follow each position.
Fractional positions:
Zr: 0.0000 0.0000 0.5000  2 O 2.23
Zr: 0.0000 0.5000 0.0000  2 O 2.23
Zr: 0.5000 0.0000 0.0000  2 O 2.23
I: 0.5000 0.5000 0.5000  12 Zr 3.15
O: 0.0000 0.0000 0.0000  6 Zr 2.23



(3)
P3OsI | meta-GGA SCAN | single point on PBEsol structure

Results
SG = Pm-3m, No. 221
Offset from the most stable computed form = 0.00 kJ/mol of atoms

a = 4.6189 Å, b = 4.6189 Å, c = 4.6189 Å
α = 90.00°, β = 90.00°, γ = 90.00°
Closest atoms and distances in Å follow each position.
Fractional positions:
P: 0.0000 0.0000 0.5000  2 Os 2.31
P: 0.0000 0.5000 0.0000  2 Os 2.31
P: 0.5000 0.0000 0.0000  2 Os 2.31
Os: 0.0000 0.0000 0.0000  6 P 2.31
I: 0.5000 0.5000 0.5000  12 P 3.27



(4)
Sb2POsI | meta-GGA SCAN | single point on PBEsol structure

Results
SG = P4/mmm, No. 123
Total energy = -1.359 Ha/atom

a = 5.0003 Å, b = 5.0003 Å, c = 4.9984 Å
α = 90.00°, β = 90.00°, γ = 90.00°
Closest atoms and distances in Å follow each position.
Fractional positions:
Sb: 0.0000 0.5000 0.0000  2 P 2.50
Sb: 0.5000 0.0000 0.0000  2 P 2.50
P: 0.0000 0.0000 0.0000  2 I 2.50, 4 Sb 2.50
Os: 0.5000 0.5000 0.5000  8 Sb 3.54, 4 I 3.54
I: 0.0000 0.0000 0.5000  2 P 2.50



(5)
SbPOsI2 | meta-GGA SCAN | single point on PBEsol structure

Results
SG = P4/mmm, No. 123
Total energy = -1.356 Ha/atom

a = 5.1507 Å, b = 5.1507 Å, c = 5.2409 Å
α = 90.00°, β = 90.00°, γ = 90.00°
Closest atoms and distances in Å follow each position.
Fractional positions:
Sb: 0.0000 0.0000 0.0000  2 P 2.62
P: 0.0000 0.0000 0.5000  4 I 2.58, 2 Sb 2.62
Os: 0.5000 0.5000 0.0000  4 Sb 3.64, 8 I 3.67
I: 0.0000 0.5000 0.5000  2 P 2.58
I: 0.5000 0.0000 0.5000  2 P 2.58



(6)
OsRhPb2I | meta-GGA SCAN | single point on PBEsol structure

Results
SG = P4/mmm, No. 123
Total energy = -2.128 Ha/atom

a = 5.3931 Å, b = 5.3931 Å, c = 4.6744 Å
α = 90.00°, β = 90.00°, γ = 90.00°
Closest atoms and distances in Å follow each position.
Fractional positions:
Os: 0.0000 0.0000 0.0000  2 Rh 2.34
Rh: 0.0000 0.0000 0.5000  2 Os 2.34
Pb: 0.0000 0.5000 0.5000  2 Rh 2.70
Pb: 0.5000 0.0000 0.5000  2 Rh 2.70
I: 0.5000 0.5000 0.0000  8 Pb 3.57, 4 Os 3.81



(7)
TeOsPbI2 | meta-GGA SCAN | single point on PBEsol structure

Results
SG = P4/mmm, No. 123
Total energy = -1.844 Ha/atom

a = 5.9611 Å, b = 5.9611 Å, c = 5.8046 Å
α = 90.00°, β = 90.00°, γ = 90.00°
Closest atoms and distances in Å follow each position.
Fractional positions:
Te: 0.0000 0.0000 0.0000  2 Pb 2.90
Os: 0.5000 0.5000 0.0000  8 I 4.16, 4 Te 4.22
Pb: 0.0000 0.0000 0.5000  2 Te 2.90, 4 I 2.98
I: 0.0000 0.5000 0.5000  2 Pb 2.98
I: 0.5000 0.0000 0.5000  2 Pb 2.98



(8)
OsPd2I | meta-GGA SCAN | single point on PBEsol structure

Results
SG = Fm-3m, No. 225
Total energy = -1.560 Ha/atom

a = 4.5547 Å, b = 4.5547 Å, c = 4.5547 Å
α = 60.00°, β = 60.00°, γ = 60.00°
Closest atoms and distances in Å follow each position.
Fractional positions:
Os: 0.0000 0.0000 0.0000  8 Pd 2.79
Pd: 0.2500 0.2500 0.2500  4 I 2.79, 4 Os 2.79
Pd: 0.7500 0.7500 0.7500  4 I 2.79, 4 Os 2.79
I: 0.5000 0.5000 0.5000  8 Pd 2.79



(9)
OsPtI3 | meta-GGA SCAN | single point on PBEsol structure

Results
SG = Pm-3m, No. 221
Total energy = -1.800 Ha/atom

a = 5.3288 Å, b = 5.3288 Å, c = 5.3288 Å
α = 90.00°, β = 90.00°, γ = 90.00°
Closest atoms and distances in Å follow each position.
Fractional positions:
Os: 0.0000 0.0000 0.0000  12 I 3.77
Pt: 0.5000 0.5000 0.5000  6 I 2.66
I: 0.0000 0.5000 0.5000  2 Pt 2.66
I: 0.5000 0.0000 0.5000  2 Pt 2.66
I: 0.5000 0.5000 0.0000  2 Pt 2.66



(10)
RbSb2OsI | meta-GGA SCAN | single point on PBEsol structure

Results
SG = P4/mmm, No. 123
Total energy = -1.495 Ha/atom

a = 5.0666 Å, b = 5.0666 Å, c = 6.1157 Å
α = 90.00°, β = 90.00°, γ = 90.00°
Closest atoms and distances in Å follow each position.
Fractional positions:
Rb: 0.0000 0.0000 0.0000  4 I 3.58, 8 Sb 3.97
Sb: 0.0000 0.5000 0.5000  2 Os 2.53
Sb: 0.5000 0.0000 0.5000  2 Os 2.53
Os: 0.5000 0.5000 0.5000  4 Sb 2.53
I: 0.5000 0.5000 0.0000  2 Os 3.06



(11)
Rb2SiOsI | meta-GGA SCAN | single point on PBEsol structure

Results
SG = P4/mmm, No. 123
Total energy = -1.134 Ha/atom

a = 6.7521 Å, b = 6.7521 Å, c = 4.8614 Å
α = 90.00°, β = 90.00°, γ = 90.00°
Closest atoms and distances in Å follow each position.
Fractional positions:
Rb: 0.0000 0.5000 0.0000  2 I 3.38
Rb: 0.5000 0.0000 0.0000  2 I 3.38
Si: 0.0000 0.0000 0.5000  8 Rb 4.16
Os: 0.5000 0.5000 0.5000  2 I 2.43
I: 0.5000 0.5000 0.0000  2 Os 2.43



(12)
ReSb2OsI | meta-GGA SCAN | single point on PBEsol structure

Results
SG = P4/mmm, No. 123
Total energy = -1.799 Ha/atom

a = 5.0361 Å, b = 5.0361 Å, c = 5.2699 Å
α = 90.00°, β = 90.00°, γ = 90.00°
Closest atoms and distances in Å follow each position.
Fractional positions:
Re: 0.0000 0.0000 0.0000  4 Sb 2.52, 2 I 2.63
Sb: 0.0000 0.5000 0.0000  2 Re 2.52
Sb: 0.5000 0.0000 0.0000  2 Re 2.52
Os: 0.5000 0.5000 0.5000  4 I 3.56, 8 Sb 3.64
I: 0.0000 0.0000 0.5000  2 Re 2.63



Number 1: DOS(E_F) 0.000 states/eV/atom. Number 2: DOS(E_F) 1.152 states/eV/atom. Number 3: DOS(E_F) 0.866 states/eV/atom. Number 4: DOS(E_F) 0.612 states/eV/atom. Number 5: DOS(E_F) 0.813 states/eV/atom. Number 6: DOS(E_F) 0.581 states/eV/atom. Number 7: DOS(E_F) 0.720 states/eV/atom. Number 8: DOS(E_F) 0.762 states/eV/atom. Number 9: DOS(E_F) 1.331 states/eV/atom. Number 10: DOS(E_F) 0.728 states/eV/atom. Number 11: DOS(E_F) 0.438 states/eV/atom. Number 12: DOS(E_F) 1.350 states/eV/atom.